Material: YZn
Method: DFT, PBE
State: relaxed Values from VASP.

```
&SYSTEM
  ibrav = 0, nat = 12, ntyp = 2
/
ATOMIC_SPECIES
Y 88.91 Y.upf
Zn 65.41 Zn.upf
CELL_PARAMETERS angstrom
-0.4218 -7.5988 -2.3985
7.5722 0.3657 -2.4902
2.4813 -2.4077 7.1916
ATOMIC_POSITIONS angstrom
Y 3.6806 -1.7168 -1.8447
Y 3.4698 -5.5162 -3.0440
Y 0.4095 -4.4013 0.5986
Y 1.6501 -5.6052 4.1944
Y 3.1337 -1.1124 2.9732
Y 6.9198 -0.9295 1.7281
Zn 1.1352 -3.1036 2.9961
Zn 0.9244 -6.9030 1.7969
Zn 4.4064 -0.4191 0.5528
Zn 5.6471 -1.6229 4.1486
Zn 1.6822 -3.7080 -1.8218
Zn 5.4683 -3.5251 -3.0669
```

Output
- formation energy from the elements (eV per formula unit) = 1.5
- space group = Pm-3n
- D(E_F) (states/eV/cell) = 23.2